No. 1
Entry from Alexandria via LeMat-Bulk: crystalline AcPa2ReN5 at its relaxed geometry (PBE).

- magnetic moment (μB/f.u.) = 0.0
- ρ (kg/m³) = 11943
- ΔE_f (raw) (eV per atom) = -1.17
- volume (Å³/cell) = 525.76

Cell: 6.6803 6.6803 11.7814 Å, 90.00 90.00 90.00°
Last column: nearest neighbours and their distance in Å.
Space group I4/mcm (No. 140)
Inequivalent atoms, fractional coordinates:
Ac (0.0000, 0.0000, 0.2500) [4 per cell]  10 N 2.93-2.95
Pa (0.1811, 0.3189, 0.0000) [8 per cell]  4 N 2.25-2.45
Re (0.0000, 0.5000, 0.2500) [4 per cell]  4 N 1.96
N (0.0000, 0.0000, 0.0000) [4 per cell]  4 Pa 2.45
N (0.1442, 0.3558, 0.3701) [16 per cell]  1 Re 1.96

***

No. 2
Entry from Alexandria via LeMat-Bulk: crystalline PmAgCO4 at its relaxed geometry (PBE).

- magnetic moment (μB/f.u.) = 0.0
- ρ (kg/m³) = 6354
- ΔE_f (raw) (eV per atom) = -1.50
- volume (Å³/cell) = 343.78

Cell: 5.5513 7.6530 8.0920 Å, 90.00 90.00 90.00°
Last column: nearest neighbours and their distance in Å.
Space group Imma (No. 74)
Inequivalent atoms, fractional coordinates:
Pm (0.0000, 0.0000, 0.0000) [4 per cell]  6 O 2.43-2.50
Ag (0.2500, 0.2500, 0.2500) [4 per cell]  2 O 2.07
C (0.0000, 0.2500, 0.6292) [4 per cell]  2 O 1.31
O (0.0000, 0.0997, 0.7062) [8 per cell]  1 C 1.31
O (0.2301, 0.2500, 0.5056) [8 per cell]  1 C 1.62

***

No. 3
Entry from Alexandria via LeMat-Bulk: crystalline CeInIrPt at its relaxed geometry (PBE).

- magnetic moment (μB/f.u.) = 0.0
- ρ (kg/m³) = 13289
- formation energy (eV per atom) = -0.604
- volume (Å³/cell) = 321.01

Cell: 6.8471 6.8471 6.8471 Å, 90.00 90.00 90.00°
Last column: nearest neighbours and their distance in Å.
Space group F-43m (No. 216)
Inequivalent atoms, fractional coordinates:
Ce (0.0000, 0.0000, 0.0000) [4 per cell]  4 Ir 2.96, 4 Pt 2.96
In (0.0000, 0.0000, 0.5000) [4 per cell]  4 Ir 2.96, 4 Pt 2.96
Ir (0.2500, 0.2500, 0.2500) [4 per cell]  4 In 2.96, 4 Ce 2.96
Pt (0.2500, 0.2500, 0.7500) [4 per cell]  4 In 2.96, 4 Ce 2.96

***

No. 4
Entry from Alexandria via LeMat-Bulk: crystalline La5Pr4Sm at its relaxed geometry (PBE).

- magnetic moment (μB/f.u.) = 0.0
- ρ (kg/m³) = 6229
- formation energy (eV per atom) = 0.240
- excess energy over the best structure of this formula in the dataset (meV/atom) = 95
- volume (Å³/cell) = 751.01

Cell: 7.0737 12.3669 8.5850 Å, 90.00 90.00 90.00°
Last column: nearest neighbours and their distance in Å.
Space group Pmmn (No. 59, origin choice 2)
Inequivalent atoms, fractional coordinates:
La (0.0017, 0.1036, 0.1226) [8 per cell]  5 La 3.32-3.62, 1 Sm 3.50, 1 Pr 3.65
La (0.2500, 0.2500, 0.4004) [2 per cell]  4 Pr 3.17-3.51, 4 La 3.47, 2 Sm 3.54
Pr (0.0001, 0.2500, 0.7532) [4 per cell]  1 Sm 3.49, 3 La 3.51-3.65, 2 Pr 3.53-3.54
Pr (0.2500, 0.0064, 0.5156) [4 per cell]  1 La 3.17, 1 Sm 3.25, 2 Pr 3.55
Sm (0.2500, 0.7500, 0.5969) [2 per cell]  4 Pr 3.25-3.49, 6 La 3.50-3.54